(1)
Compound: Si2RhAuI
Source: Alexandria
Functional: GGA-PBE
Structure: relaxed Values from VASP.

The structure in Quantum ESPRESSO input format:
```
&SYSTEM
  ibrav = 0, nat = 5, ntyp = 4
/
ATOMIC_SPECIES
Au 196.97 Au.upf
I 126.90 I.upf
Si 28.09 Si.upf
Rh 102.91 Rh.upf
ATOMIC_POSITIONS crystal
Au 0.878 0.932 0.706
I 0.019 0.506 0.421
Si 0.827 0.410 0.130
Si 0.638 0.312 0.843
Rh 0.414 0.702 0.006
CELL_PARAMETERS angstrom
-2.818 2.146 1.197
2.049 -1.966 2.458
6.685 6.020 -0.805
```

**Formation energy (no corrections)**: -0.028 eV per atom
**Fermi-level density of states**: 1.428 states/eV/f.u.
**Offset from the most stable computed form**: 0.102 eV per atom
**Volume**: 21.31 Å³/atom

(2)
Compound: Si2RhAuI
Source: Alexandria
Functional: GGA-PBE
Structure: relaxed Values from VASP.

The structure in Quantum ESPRESSO input format:
```
&SYSTEM
  ibrav = 0, nat = 5, ntyp = 4
/
ATOMIC_SPECIES
Si 28.09 Si.upf
Rh 102.91 Rh.upf
I 126.90 I.upf
Au 196.97 Au.upf
ATOMIC_POSITIONS crystal
Si 0.488 0.339 0.156
Si 0.296 0.955 0.953
Rh 0.017 0.399 0.931
I 0.085 0.535 0.600
Au 0.199 0.763 0.254
CELL_PARAMETERS angstrom
-1.577 0.577 2.503
-2.756 -1.601 -3.169
0.465 -8.498 2.259
```

**Formation energy (no corrections)**: -0.100 eV per atom
**Fermi-level density of states**: 1.711 states/eV/f.u.
**Offset from the most stable computed form**: 0.030 eV per atom
**Volume**: 22.28 Å³/atom

(3)
Compound: SiRh2AuI
Source: Alexandria
Functional: GGA-PBE
Structure: relaxed Values from VASP.

The structure in Quantum ESPRESSO input format:
```
&SYSTEM
  ibrav = 0, nat = 5, ntyp = 4
/
ATOMIC_SPECIES
Si 28.09 Si.upf
Rh 102.91 Rh.upf
Au 196.97 Au.upf
I 126.90 I.upf
ATOMIC_POSITIONS crystal
Si 0.237 0.903 0.023
Rh 0.696 0.831 0.826
Rh 0.006 0.438 0.136
Au 0.195 0.305 0.757
I 0.542 0.515 0.427
CELL_PARAMETERS angstrom
-0.459 -0.294 -3.752
-1.627 -3.605 0.548
-5.477 4.151 0.994
```

**Formation energy (no corrections)**: -0.040 eV per atom
**Fermi-level density of states**: 2.753 states/eV/f.u.
**Offset from the most stable computed form**: 0.174 eV per atom
**Volume**: 20.51 Å³/atom

(4)
Compound: Si2RhAuI
Source: Alexandria
Functional: GGA-PBE
Structure: relaxed Values from VASP.

The structure in Quantum ESPRESSO input format:
```
&SYSTEM
  ibrav = 0, nat = 10, ntyp = 4
/
ATOMIC_SPECIES
Si 28.09 Si.upf
Au 196.97 Au.upf
Rh 102.91 Rh.upf
I 126.90 I.upf
ATOMIC_POSITIONS crystal
Si 0.067 0.500 0.595
Si 0.673 0.000 0.702
Si 0.673 0.500 0.202
Si 0.067 0.000 0.095
Au 0.213 0.500 0.742
Au 0.213 0.000 0.242
Rh 0.542 0.000 0.570
Rh 0.542 0.500 0.070
I 0.389 0.500 0.912
I 0.389 0.000 0.412
CELL_PARAMETERS angstrom
3.820 0.000 0.001
0.000 3.077 0.000
-3.804 0.000 17.913
```

**Formation energy (no corrections)**: -0.124 eV per atom
**Fermi-level density of states**: 2.692 states/eV/f.u.
**Offset from the most stable computed form**: 0.006 eV per atom
**Volume**: 21.06 Å³/atom

(5)
Compound: SiRh2AuI
Source: Alexandria
Functional: GGA-PBE
Structure: relaxed Values from VASP.

The structure in Quantum ESPRESSO input format:
```
&SYSTEM
  ibrav = 0, nat = 5, ntyp = 4
/
ATOMIC_SPECIES
I 126.90 I.upf
Rh 102.91 Rh.upf
Au 196.97 Au.upf
Si 28.09 Si.upf
ATOMIC_POSITIONS crystal
I 0.433 0.672 0.343
Rh 0.810 0.103 0.273
Rh 0.495 0.541 0.817
Au 0.881 0.977 0.780
Si 0.053 0.368 0.956
CELL_PARAMETERS angstrom
4.271 0.007 -0.003
1.349 4.373 0.005
0.433 1.367 5.440
```

**Formation energy (no corrections)**: 0.062 eV per atom
**Fermi-level density of states**: 2.449 states/eV/f.u.
**Offset from the most stable computed form**: 0.275 eV per atom
**Volume**: 20.30 Å³/atom

(6)
Compound: Si2RhAuI
Source: Alexandria
Functional: GGA-PBE
Structure: relaxed Values from VASP.

The structure in Quantum ESPRESSO input format:
```
&SYSTEM
  ibrav = 0, nat = 5, ntyp = 4
/
ATOMIC_SPECIES
I 126.90 I.upf
Si 28.09 Si.upf
Au 196.97 Au.upf
Rh 102.91 Rh.upf
ATOMIC_POSITIONS crystal
I 0.042 0.500 0.593
Si 0.539 0.000 0.953
Si 0.541 0.000 0.187
Au 0.042 0.500 0.290
Rh 0.038 0.500 0.872
CELL_PARAMETERS angstrom
3.556 0.000 0.002
0.000 2.929 0.000
-0.031 0.000 10.173
```

**Formation energy (no corrections)**: -0.043 eV per atom
**Fermi-level density of states**: 1.686 states/eV/f.u.
**Offset from the most stable computed form**: 0.087 eV per atom
**Volume**: 21.19 Å³/atom

Number 4 is which compound?
Si2RhAuI

What is the formula in the third record?
SiRh2AuI

Number 3 is which compound?
SiRh2AuI

Among the records above, which one has the highest volume?
number 2